(1)
Os2RuPt GGA-PBEsol optimized geometry; total DFT energy (no corrections) = -10.255 eV/atom; formation energy = 0.1372 eV per atom; volume = 13.963 A^3/atom
1.0
3.8086 0.0000 0.0000
0.0000 3.8086 0.0000
0.0000 0.0000 3.8503
Os Ru Pt
2 1 1
Cartesian
0.0000 1.9043 0.0000
1.9043 0.0000 0.0000
0.0000 0.0000 1.9252
1.9043 1.9043 1.9252

***

(2)
OsRu2Pt GGA-PBEsol optimized geometry; total DFT energy (no corrections) = -9.830 eV/atom; formation energy = 0.0514 eV per atom; volume = 13.862 A^3/atom; energy above the most stable polymorph in this dataset = 13.1 meV/atom
1.0
2.6907 0.0000 0.0000
0.0000 3.8032 0.0000
0.0000 0.0000 5.4182
Os Ru Pt
1 2 1
Cartesian
0.0000 0.0000 0.0000
1.3454 1.9016 1.2992
1.3454 1.9016 4.1190
0.0000 0.0000 2.7091

***

(3)
OsRu2Pt GGA-PBEsol optimized geometry; total DFT energy (no corrections) = -9.843 eV/atom; formation energy = 0.0383 eV per atom; volume = 13.871 A^3/atom; energy above the most stable polymorph in this dataset = 0.0 meV/atom
1.0
2.6874 0.0000 0.0000
0.0000 2.6874 0.0000
0.0000 0.0000 7.6826
Os Ru Pt
1 2 1
Cartesian
0.0000 0.0000 0.0000
1.3437 1.3437 1.8592
1.3437 1.3437 5.8234
0.0000 0.0000 3.8413

***

(4)
OsRu2Pt GGA-PBEsol optimized geometry; total DFT energy (no corrections) = -9.824 eV/atom; formation energy = 0.0572 eV per atom; volume = 13.904 A^3/atom; energy above the most stable polymorph in this dataset = 18.9 meV/atom
1.0
2.6942 0.0000 0.0000
-1.3471 2.3333 0.0000
0.0000 0.0000 26.5413
Os Ru Pt
3 6 3
Cartesian
0.0000 0.0000 0.0000
0.0000 1.5555 17.6942
1.3471 0.7778 8.8471
0.0000 0.0000 6.7078
0.0000 0.0000 19.8335
0.0000 1.5555 10.9864
0.0000 1.5555 24.4020
1.3471 0.7778 2.1393
1.3471 0.7778 15.5549
0.0000 0.0000 13.2707
0.0000 1.5555 4.4236
1.3471 0.7778 22.1178

***

(5)
ScOs2Pt GGA-PBEsol optimized geometry; total DFT energy (no corrections) = -9.643 eV/atom; formation energy = -0.1430 eV per atom; volume = 15.180 A^3/atom
1.0
9.2279 0.0000 0.0000
0.0000 2.7904 0.0000
-0.8127 0.0000 4.7160
Sc Os Pt
2 4 2
Cartesian
0.0000 0.0000 0.0000
4.6139 1.3952 0.0000
1.6608 0.0000 3.4689
2.1404 1.3952 1.2471
6.2748 1.3952 3.4689
6.7544 0.0000 1.2471
-0.4064 1.3952 2.3580
4.2076 0.0000 2.3580

***

(6)
ScOs2Pt GGA-PBEsol optimized geometry; total DFT energy (no corrections) = -9.467 eV/atom; formation energy = 0.0336 eV per atom; volume = 15.438 A^3/atom
1.0
2.7134 0.0000 0.0000
0.0000 4.0087 0.0000
0.0000 0.0000 5.6772
Sc Os Pt
1 2 1
Cartesian
0.0000 0.0000 0.0000
1.3567 2.0044 1.5472
1.3567 2.0044 4.1300
0.0000 0.0000 2.8386